A plane-wave DFT calculation with PBE was carried out for a relaxed structure of HfTl.

a b c (Å): 3.2217 3.2217 5.1518
angles (deg): 90.00 90.00 120.00
Space group P-6m2 (No. 187)
Symmetry-distinct sites (fractional):
Hf  0.0000  0.0000  0.0000 [1 per cell]
Tl  0.6667  0.3333  0.5000 [1 per cell]

Summary:
* total moment: 0.01 μB/atom
* E: -6.02 eV/atom